Entry 1:
# BaZn2BS4

A relaxed BaZn2BS4 crystal (PBE, the Alexandria database).

POSCAR file:
```
BaZn2BS4
1.0
0.0000 4.5901 3.9978
4.5172 0.0000 3.9978
4.5172 4.5901 0.0000
Ba Zn B S
1 2 1 4
Direct
0.0000 0.0000 0.0000
0.2596 0.2596 0.2404
0.7596 0.7596 0.7404
0.4997 0.4997 0.5003
0.1821 0.5359 0.8179
0.4634 0.8130 0.1870
0.5359 0.1821 0.4641
0.8130 0.4634 0.5366
```

Theoretical density, g cm⁻³: 4.1
Crystal system: orthorhombic
Formation energy (no corrections), meV per atom: -766
Space-group type: Fmm2

---

Entry 2:
# BaB3Sb

A relaxed BaB3Sb crystal (PBE, the Alexandria database).

POSCAR file:
```
BaB3Sb
1.0
4.6497 0.0000 0.0000
0.0000 4.6497 0.0000
0.0000 0.0000 4.6497
Ba B Sb
1 3 1
Direct
0.0000 0.0000 0.0000
0.0000 0.5000 0.5000
0.5000 0.0000 0.5000
0.5000 0.5000 0.0000
0.5000 0.5000 0.5000
```

Excess energy over the best structure of this formula in the dataset, eV per atom: 0.0000
Theoretical density, g cm⁻³: 4.8
Crystal system: cubic
Formation energy (no corrections), meV per atom: 1454
Space-group type: Pm-3m

---

Entry 3:
# BaBSb2

A relaxed BaBSb2 crystal (PBE, the Alexandria database).

POSCAR file:
```
BaBSb2
1.0
-3.8186 3.8186 3.8807
3.8186 -3.8186 3.8807
3.8186 3.8186 -3.8807
Ba B Sb
2 2 4
Direct
0.0000 0.0000 0.0000
0.7500 0.2500 0.5000
0.2500 0.7500 0.5000
0.5000 0.5000 0.0000
0.2423 0.6250 0.1173
0.3750 0.4923 0.6173
0.5077 0.1250 0.8827
0.8750 0.7577 0.3827
```

Theoretical density, g cm⁻³: 5.7
Crystal system: tetragonal
Formation energy (no corrections), meV per atom: -86
Space-group type: I-42d

---

Entry 4:
# BaBSb3

A relaxed BaBSb3 crystal (PBE, the Alexandria database).

POSCAR file:
```
BaBSb3
1.0
5.1341 0.0000 0.0000
0.0000 5.1341 0.0000
0.0000 0.0000 5.1341
Ba B Sb
1 1 3
Direct
0.0000 0.0000 0.0000
0.5000 0.5000 0.5000
0.0000 0.5000 0.5000
0.5000 0.0000 0.5000
0.5000 0.5000 0.0000
```

Excess energy over the best structure of this formula in the dataset, eV per atom: 0.0000
Theoretical density, g cm⁻³: 6.3
Crystal system: cubic
Formation energy (no corrections), meV per atom: 210
Space-group type: Pm-3m

---

Entry 5:
# BaBSb

A relaxed BaBSb crystal (PBE, the Alexandria database).

POSCAR file:
```
BaBSb
1.0
6.5690 -1.9634 0.0000
6.5690 1.9634 0.0000
-1.5013 0.0000 6.8175
Ba B Sb
2 2 2
Direct
0.1137 0.1137 0.2458
0.8863 0.8863 0.7542
0.3372 0.3372 0.0365
0.6628 0.6628 0.9635
0.1688 0.1688 0.7750
0.8312 0.8312 0.2250
```

Theoretical density, g cm⁻³: 5.1
Crystal system: monoclinic
Formation energy (no corrections), meV per atom: 77
Space-group type: C2/m

---

Entry 6:
# Ba2BSb2

A relaxed Ba2BSb2 crystal (PBE, the Alexandria database).

POSCAR file:
```
Ba2BSb2
1.0
8.1689 0.0000 0.0000
0.0000 8.1689 0.0000
0.0000 0.0000 5.0986
Ba B Sb
4 2 4
Direct
0.1793 0.3207 0.0000
0.3207 0.8207 0.0000
0.6793 0.1793 0.0000
0.8207 0.6793 0.0000
0.0000 0.0000 0.5000
0.5000 0.5000 0.5000
0.1244 0.6244 0.5000
0.3756 0.1244 0.5000
0.6244 0.8756 0.5000
0.8756 0.3756 0.5000
```

Excess energy over the best structure of this formula in the dataset, eV per atom: 0.1713
Theoretical density, g cm⁻³: 5.2
Crystal system: tetragonal
Formation energy (no corrections), meV per atom: 71
Space-group type: P4/mbm

---

Entry 7:
# BaB2Sb

A relaxed BaB2Sb crystal (PBE, the Alexandria database).

POSCAR file:
```
BaB2Sb
1.0
-2.3839 2.3839 8.0150
2.3839 -2.3839 8.0150
2.3839 2.3839 -8.0150
Ba B Sb
2 4 2
Direct
0.3750 0.6250 0.7500
0.6250 0.3750 0.2500
0.0000 0.0000 0.0000
0.0000 0.0000 0.5000
0.0000 0.5000 0.0000
0.5000 0.0000 0.5000
0.1250 0.8750 0.2500
0.8750 0.1250 0.7500
```

Theoretical density, g cm⁻³: 5.1
Crystal system: tetragonal
Formation energy (no corrections), meV per atom: 761
Space-group type: I4_1/amd

---

Entry 8:
# Ba2BSb

A relaxed Ba2BSb crystal (PBE, the Alexandria database).

POSCAR file:
```
Ba2BSb
1.0
0.0000 4.0884 4.0884
4.0884 0.0000 4.0884
4.0884 4.0884 0.0000
Ba B Sb
2 1 1
Direct
0.2500 0.2500 0.2500
0.7500 0.7500 0.7500
0.0000 0.0000 0.0000
0.5000 0.5000 0.5000
```

Theoretical density, g cm⁻³: 4.9
Crystal system: cubic
Formation energy (no corrections), meV per atom: 215
Space-group type: Fm-3m

---

Entry 9:
# BaBSb3

A relaxed BaBSb3 crystal (PBE, the Alexandria database).

POSCAR file:
```
BaBSb3
1.0
6.2700 0.0000 0.0000
0.0000 6.2700 0.0000
0.0000 0.0000 6.2700
Ba B Sb
1 1 3
Direct
0.0000 0.0000 0.0000
0.5000 0.5000 0.5000
0.0000 0.0000 0.5000
0.0000 0.5000 0.0000
0.5000 0.0000 0.0000
```

Excess energy over the best structure of this formula in the dataset, eV per atom: 1.6692
Theoretical density, g cm⁻³: 3.5
Crystal system: cubic
Formation energy (no corrections), meV per atom: 1879
Space-group type: Pm-3m

---

Entry 10:
# BaB3Sb

A relaxed BaB3Sb crystal (PBE, the Alexandria database).

POSCAR file:
```
BaB3Sb
1.0
4.9614 0.0000 0.0000
0.0000 4.9614 0.0000
0.0000 0.0000 4.9614
Ba B Sb
1 3 1
Direct
0.0000 0.0000 0.0000
0.0000 0.0000 0.5000
0.0000 0.5000 0.0000
0.5000 0.0000 0.0000
0.5000 0.5000 0.5000
```

Excess energy over the best structure of this formula in the dataset, eV per atom: 1.2347
Theoretical density, g cm⁻³: 4.0
Crystal system: cubic
Formation energy (no corrections), meV per atom: 2689
Space-group type: Pm-3m

---

Entry 11:
# Ba2BSb2

A relaxed Ba2BSb2 crystal (PBE, the Alexandria database).

POSCAR file:
```
Ba2BSb2
1.0
-3.5064 3.5064 4.1603
3.5064 -3.5064 4.1603
3.5064 3.5064 -4.1603
Ba B Sb
2 1 2
Direct
0.2500 0.7500 0.5000
0.7500 0.2500 0.5000
0.0000 0.0000 0.0000
0.2592 0.2592 0.0000
0.7408 0.7408 0.0000
```

Excess energy over the best structure of this formula in the dataset, eV per atom: 0.0000
Theoretical density, g cm⁻³: 4.3
Crystal system: tetragonal
Formation energy (no corrections), meV per atom: -100
Space-group type: I4/mmm

---

Entry 12:
# Ba2SnBSb

A relaxed Ba2SnBSb crystal (PBE, the Alexandria database).

POSCAR file:
```
Ba2SnBSb
1.0
6.6999 0.0000 0.0000
0.0000 6.6999 0.0000
0.0000 0.0000 4.4462
Ba Sn B Sb
2 1 1 1
Direct
0.0000 0.5000 0.0000
0.5000 0.0000 0.0000
0.0000 0.0000 0.5000
0.5000 0.5000 0.5000
0.5000 0.5000 0.0000
```

Theoretical density, g cm⁻³: 4.4
Crystal system: tetragonal
Formation energy (no corrections), meV per atom: 222
Space-group type: P4/mmm